# 1
GeTeN2F at its PBEsol-relaxed geometry. Source: Alexandria, functional meta-GGA SCAN.

Properties
- SG: P4/mmm (123)
- Size of the total moment: 0.99 μB per atom
- Crystal system: tetragonal

a b c (Å): 4.142 4.482 4.482
angles (deg): 90.00 90.00 90.00
Site moments in Bohr magnetons follow the coordinates.
Element x y z (fractional)
N (0.000, 0.000, 0.500)  1.66
Te (0.500, 0.000, 0.000)  0.24
N (0.000, 0.500, 0.000)  1.66
F (0.000, 0.000, 0.000)  0.18
Ge (0.500, 0.500, 0.500)  -0.13

=====

# 2
GeTeN2F at its PBEsol-relaxed geometry. Source: Alexandria, functional meta-GGA SCAN.

Properties
- SG: P4/mmm (123)
- Size of the total moment: 0.00 μB per atom
- Crystal system: tetragonal

a b c (Å): 4.124 4.124 4.171
angles (deg): 90.00 90.00 90.00
Element x y z (fractional)
Ge (0.500, 0.500, 0.500)
F (0.000, 0.000, 0.500)
Te (0.000, 0.000, 0.000)
N (0.000, 0.500, 0.000)
N (0.500, 0.000, 0.000)

=====

# 3
TlGeN2F at its PBEsol-relaxed geometry. Source: Alexandria, functional meta-GGA SCAN.

Properties
- SG: P4/mmm (123)
- Size of the total moment: 0.29 μB per atom
- Crystal system: tetragonal

a b c (Å): 4.218 4.218 4.410
angles (deg): 90.00 90.00 90.00
Site moments in Bohr magnetons follow the coordinates.
Element x y z (fractional)
F (0.000, 0.000, 0.500)  -0.02
Tl (0.000, 0.000, 0.000)  -0.01
N (0.000, 0.500, 0.000)  0.61
N (0.500, 0.000, 0.000)  0.61
Ge (0.500, 0.500, 0.500)  -0.10

=====

Number 1: formation energy (no corrections) 805 kJ/mol of formula units. Number 2: formation energy (no corrections) 358 kJ/mol of formula units. Number 3: formation energy (no corrections) 551 kJ/mol of formula units.